Nd5CdTe4: relaxed, PBE.

Unit cell a=7.784 b=7.784 c=7.784 alpha=99.61 beta=99.61 gamma=131.77
Fractional coordinates of all 10 atoms:
Nd  0.000  0.000  0.000
Nd  0.202  0.600  0.802
Nd  0.400  0.202  0.601
Nd  0.600  0.798  0.399
Nd  0.798  0.400  0.198
Cd  0.500  0.500  0.000
Te  0.098  0.301  0.399
Te  0.301  0.902  0.203
Te  0.699  0.098  0.797
Te  0.902  0.699  0.601

Summary:
Crystal system   tetragonal
E_form (uncorrected)   -1206 meV/atom
Volume   32.11 Å³/atom
Space-group type   No. 87
DFT total energy   -4.9384 eV/atom

***

Pr6ZnAu: relaxed, PBE.

Unit cell a=9.658 b=9.658 c=5.287 alpha=105.81 beta=105.81 gamma=31.77
Fractional coordinates of all 8 atoms:
Pr  0.104  0.104  0.104
Pr  0.248  0.248  0.748
Pr  0.396  0.396  0.396
Pr  0.604  0.604  0.604
Pr  0.752  0.752  0.252
Pr  0.896  0.896  0.896
Zn  0.000  0.000  0.500
Au  0.500  0.500  0.000

Summary:
Crystal system   monoclinic
Volume   31.13 Å³/atom
Space-group type   No. 12
DFT total energy   -4.3973 eV/atom
Energy relative to the elements   -244 meV/atom

***

P2RuSeN: relaxed, PBE.

Unit cell a=5.491 b=5.491 c=6.220 alpha=119.92 beta=119.92 gamma=29.33
Fractional coordinates of all 5 atoms:
P  0.000  0.000  0.000
P  0.189  0.189  0.656
Ru  0.395  0.395  0.650
Se  0.260  0.260  0.162
N  0.590  0.590  0.619

Summary:
Crystal system   monoclinic
Offset from the most stable computed form   0.00 kcal/mol of atoms
E_form (uncorrected)   -65 meV/atom
Volume   15.74 Å³/atom
Space-group type   No. 8
DFT total energy   -6.4463 eV/atom

***

Tm6AlHg5: relaxed, PBE.

Unit cell a=8.973 b=8.973 c=8.973 alpha=146.56 beta=131.89 gamma=59.86
Fractional coordinates of all 12 atoms:
Tm  0.082  0.334  0.748
Tm  0.247  0.000  0.247
Tm  0.414  0.666  0.748
Tm  0.586  0.334  0.252
Tm  0.753  0.000  0.753
Tm  0.918  0.666  0.252
Al  0.000  0.500  0.500
Hg  0.164  0.164  0.000
Hg  0.335  0.835  0.500
Hg  0.500  0.500  0.000
Hg  0.665  0.165  0.500
Hg  0.836  0.836  0.000

Summary:
Crystal system   orthorhombic
Volume   24.48 Å³/atom
Space-group type   No. 71
DFT total energy   -3.1248 eV/atom
Energy relative to the elements   -451 meV/atom

***

Ba2NaSrPt: relaxed, PBE.

Unit cell a=6.288 b=6.288 c=6.057 alpha=90.00 beta=90.00 gamma=90.00
Fractional coordinates of all 5 atoms:
Ba  0.000  0.500  0.000
Ba  0.500  0.000  0.000
Na  0.000  0.000  0.500
Sr  0.500  0.500  0.500
Pt  0.500  0.500  0.000

Summary:
Crystal system   tetragonal
Offset from the most stable computed form   0.00 kcal/mol of atoms
Volume   47.90 Å³/atom
Space-group type   No. 123
DFT total energy   -2.9931 eV/atom
Energy relative to the elements   -416 meV/atom

***

ScAsSe4: relaxed, PBE.

Unit cell a=5.640 b=5.640 c=5.640 alpha=60.00 beta=60.00 gamma=60.00
Fractional coordinates of all 6 atoms:
Sc  0.000  0.000  0.000
As  0.250  0.250  0.250
Se  0.124  0.625  0.625
Se  0.625  0.124  0.625
Se  0.625  0.625  0.124
Se  0.625  0.625  0.625

Summary:
Crystal system   cubic
E_form (uncorrected)   273 meV/atom
Volume   21.15 Å³/atom
Space-group type   No. 216
DFT total energy   -3.8806 eV/atom

***

Which formula does entry 4 have? Tm6AlHg5

***

Which value of volume does entry 4 give? 24.48 Å³/atom

***

Which of these has the highest DFT total energy? Ba2NaSrPt

***

The highest volume belongs to which entry? Ba2NaSrPt